Density functional theory data (PBE) for Tl4AsH2 after structural relaxation.

Summary:
final energy = -19.21 eV per cell
crystal system = orthorhombic

a = 5.4071 Å, b = 4.6381 Å, c = 6.9640 Å
α = 109.45°, β = 90.00°, γ = 90.00°
Closest atoms and distances in Å follow each position.
Sites, in units of the cell vectors:
H 0.5000 0.7555 0.4397  3 Tl 2.40-2.41
H 0.5000 0.3873 0.7032  3 Tl 2.40-2.41
Tl 0.0000 0.7213 0.3712  2 H 2.74, 2 As 3.04
Tl 0.0000 0.4215 0.7717  2 H 2.74, 2 As 3.04
As 0.0000 0.0714 0.0715  8 Tl 3.04-3.22
Tl 0.5000 0.9382 0.8051  3 H 2.40-2.41
Tl 0.5000 0.2046 0.3378  3 H 2.40-2.41